VASP calculation (PBE) on a geometry-optimized LaMoAu2 structure.

```
LaMoAu2
1.0
3.042 0.000 0.000
0.000 3.042 0.000
0.000 0.000 8.879
La Mo Au
1 1 2
direct
0.000 0.000 0.000 La
0.500 0.500 0.286 Mo
0.000 0.000 0.491 Au
0.500 0.500 0.725 Au
```

Properties
- energy of formation from the pure elements (eV/atom) = 0.149
- total DFT energy (no corrections) (eV/atom) = -5.429
- energy relative to the lowest polymorph listed for this composition (kcal/mol of atoms) = 2.876